# Zn2CdTe3 (GGA-PBE, optimized geometry)
# V = 757.5 Å³/cell
# formation energy without anion corrections = -0.4596 eV/atom
data_Zn2CdTe3
_chemical_formula_sum 'Zn8 Cd4 Te12'
_cell_length_a 7.737
_cell_length_b 13.430
_cell_length_c 7.723
_cell_angle_alpha 90.00
_cell_angle_beta 109.28
_cell_angle_gamma 90.00
_space_group_name_H-M_alt 'C 1 c 1'
_space_group_IT_number 9
loop_
_space_group_symop_operation_xyz
'x,y,z'
'x,-y,z+1/2'
'x+1/2,y+1/2,z'
'x+1/2,-y+1/2,z+1/2'
loop_
_atom_site_label
_atom_site_type_symbol
_atom_site_fract_x
_atom_site_fract_y
_atom_site_fract_z
Zn1 Zn 0.000 0.083 0.000
Zn2 Zn 0.499 0.254 0.999
Cd1 Cd 0.000 0.414 0.001
Te1 Te 0.365 0.092 0.111
Te2 Te 0.368 0.260 0.630
Te3 Te 0.391 0.418 0.131

=====

# ZnCdTe2 (GGA-PBE, optimized geometry)
# V = 329.4 Å³/cell
# formation energy without anion corrections = 0.2078 eV/atom
data_ZnCdTe2
_chemical_formula_sum 'Zn3 Cd3 Te6'
_cell_length_a 3.2014
_cell_length_b 3.2014
_cell_length_c 37.1135
_cell_angle_alpha 90.00
_cell_angle_beta 90.00
_cell_angle_gamma 120.00
_space_group_name_H-M_alt 'R -3 m'
_space_group_IT_number 166
_space_group_name_Hall '-R 3 2"'
loop_
_atom_site_label
_atom_site_type_symbol
_atom_site_fract_x
_atom_site_fract_y
_atom_site_fract_z
Zn1 Zn 0.0000 0.0000 0.0000
Cd1 Cd 0.0000 0.0000 0.5000
Te1 Te 0.0000 0.0000 0.0755

=====

# ZnCdTe2 (GGA-PBE, optimized geometry)
# V = 411.7 Å³/cell
# formation energy without anion corrections = 0.2183 eV/atom
data_ZnCdTe2
_chemical_formula_sum 'Zn4 Cd4 Te8'
_cell_length_a 7.439
_cell_length_b 7.439
_cell_length_c 7.439
_cell_angle_alpha 90.00
_cell_angle_beta 90.00
_cell_angle_gamma 90.00
_space_group_name_H-M_alt 'F -4 3 m'
_space_group_IT_number 216
_space_group_name_Hall 'F -4 2 3'
loop_
_atom_site_label
_atom_site_type_symbol
_atom_site_fract_x
_atom_site_fract_y
_atom_site_fract_z
Zn1 Zn 0.000 0.000 0.000
Cd1 Cd 0.250 0.250 0.750
Te1 Te 0.000 0.000 0.500
Te2 Te 0.250 0.250 0.250

=====

# Zn2Cd2Te (GGA-PBE, optimized geometry)
# distance to the lowest polymorph of the same formula = 0.35 kcal/mol of atoms
# V = 230.4 Å³/cell
# formation energy without anion corrections = 0.0716 eV/atom
data_Zn2Cd2Te
_chemical_formula_sum 'Zn4 Cd4 Te2'
_cell_length_a 3.989
_cell_length_b 3.989
_cell_length_c 14.477
_cell_angle_alpha 90.00
_cell_angle_beta 90.00
_cell_angle_gamma 90.00
_space_group_name_H-M_alt 'I 4/m m m'
_space_group_IT_number 139
_space_group_name_Hall '-I 4 2'
loop_
_atom_site_label
_atom_site_type_symbol
_atom_site_fract_x
_atom_site_fract_y
_atom_site_fract_z
Zn1 Zn 0.000 0.500 0.250
Cd1 Cd 0.000 0.000 0.106
Te1 Te 0.000 0.000 0.500

=====

# ZnCdTe2 (GGA-PBE, optimized geometry)
# V = 214.1 Å³/cell
# formation energy without anion corrections = -0.0466 eV/atom
data_ZnCdTe2
_chemical_formula_sum 'Zn2 Cd2 Te4'
_cell_length_a 3.919
_cell_length_b 4.052
_cell_length_c 13.485
_cell_angle_alpha 90.00
_cell_angle_beta 90.00
_cell_angle_gamma 90.00
_space_group_name_H-M_alt 'I m m 2'
_space_group_IT_number 44
loop_
_space_group_symop_operation_xyz
'x,y,z'
'-x,-y,z'
'-x,y,z'
'x,-y,z'
'x+1/2,y+1/2,z+1/2'
'-x+1/2,-y+1/2,z+1/2'
'-x+1/2,y+1/2,z+1/2'
'x+1/2,-y+1/2,z+1/2'
loop_
_atom_site_label
_atom_site_type_symbol
_atom_site_fract_x
_atom_site_fract_y
_atom_site_fract_z
Zn1 Zn 0.000 0.000 0.000
Cd1 Cd 0.000 0.500 0.746
Te1 Te 0.000 0.000 0.576
Te2 Te 0.000 0.500 0.342

=====

# ZnCd3Te (GGA-PBE, optimized geometry)
# distance to the lowest polymorph of the same formula = 0.00 kcal/mol of atoms
# V = 138.7 Å³/cell
# formation energy without anion corrections = 0.2102 eV/atom
data_ZnCd3Te
_chemical_formula_sum 'Zn1 Cd3 Te1'
_cell_length_a 5.176
_cell_length_b 5.176
_cell_length_c 5.176
_cell_angle_alpha 90.00
_cell_angle_beta 90.00
_cell_angle_gamma 90.00
_space_group_name_H-M_alt 'P m -3 m'
_space_group_IT_number 221
_space_group_name_Hall '-P 4 2 3'
loop_
_atom_site_label
_atom_site_type_symbol
_atom_site_fract_x
_atom_site_fract_y
_atom_site_fract_z
Zn1 Zn 0.000 0.000 0.000
Cd1 Cd 0.000 0.000 0.500
Te1 Te 0.500 0.500 0.500

=====

- Among the records above, which one has the highest V?
  Zn2CdTe3

=====

Copy entry 1 word for word.
# Zn2CdTe3 (GGA-PBE, optimized geometry)
# V = 757.5 Å³/cell
# formation energy without anion corrections = -0.4596 eV/atom
data_Zn2CdTe3
_chemical_formula_sum 'Zn8 Cd4 Te12'
_cell_length_a 7.737
_cell_length_b 13.430
_cell_length_c 7.723
_cell_angle_alpha 90.00
_cell_angle_beta 109.28
_cell_angle_gamma 90.00
_space_group_name_H-M_alt 'C 1 c 1'
_space_group_IT_number 9
loop_
_space_group_symop_operation_xyz
'x,y,z'
'x,-y,z+1/2'
'x+1/2,y+1/2,z'
'x+1/2,-y+1/2,z+1/2'
loop_
_atom_site_label
_atom_site_type_symbol
_atom_site_fract_x
_atom_site_fract_y
_atom_site_fract_z
Zn1 Zn 0.000 0.083 0.000
Zn2 Zn 0.499 0.254 0.999
Cd1 Cd 0.000 0.414 0.001
Te1 Te 0.365 0.092 0.111
Te2 Te 0.368 0.260 0.630
Te3 Te 0.391 0.418 0.131

=====

- Look up the V of the second one.
  329.4 Å³/cell